Entry from Alexandria via LeMat-Bulk: a relaxed Tl2HgS2 crystal (PBE-GGA).

Output
- E_tot: -2.672 eV/atom
- Energy relative to the elements, uncorrected: -0.34 kcal/mol of atoms
- M_tot: 0.0 μB/f.u.
- Fermi-level density of states: 1.82 states/eV/f.u.
- Calculated volume: 272.56 Å³/cell

Geometry as CIF:
```
data_Tl2HgS2
_cell_length_a 7.754
_cell_length_b 7.754
_cell_length_c 4.533
_cell_angle_alpha 90.00
_cell_angle_beta 90.00
_cell_angle_gamma 90.00
_symmetry_space_group_name_H-M 'P 4/m b m'
_symmetry_Int_Tables_number 127
_symmetry_space_group_name_Hall '-P 4 2ab'
loop_
_atom_site_label
_atom_site_type_symbol
_atom_site_fract_x
_atom_site_fract_y
_atom_site_fract_z
Tl1 Tl 0.142 0.358 0.000
Hg1 Hg 0.000 0.000 0.500
S1 S 0.182 0.682 0.500
```



Entry from Alexandria via LeMat-Bulk: a relaxed Tl3Hg12S5 crystal (PBE-GGA).

Output
- E_tot: -1.475 eV/atom
- Energy relative to the elements, uncorrected: 2.15 kcal/mol of atoms
- M_tot: 0.0 μB/f.u.
- Fermi-level density of states: 8.80 states/eV/f.u.
- Calculated volume: 4700.47 Å³/cell

Geometry as CIF:
```
data_Tl3Hg12S5
_cell_length_a 16.751
_cell_length_b 16.751
_cell_length_c 16.751
_cell_angle_alpha 90.00
_cell_angle_beta 90.00
_cell_angle_gamma 90.00
_symmetry_space_group_name_H-M 'I a -3 d'
_symmetry_Int_Tables_number 230
_symmetry_space_group_name_Hall '-I 4bd 2c 3'
loop_
_atom_site_label
_atom_site_type_symbol
_atom_site_fract_x
_atom_site_fract_y
_atom_site_fract_z
Tl1 Tl 0.000 0.250 0.125
Hg1 Hg 0.027 0.075 0.649
S1 S 0.000 0.000 0.000
S2 S 0.000 0.250 0.375
```